1.
# TmGaPt GGA-PBEsol optimized geometry
# E_form in eV per formula unit: -3.422
# Density in g/cm³: 13.07
# V in Å³/atom: 18.37
# Crystal system: orthorhombic
data_TmGaPt
_cell_length_a 6.702
_cell_length_b 4.355
_cell_length_c 7.553
_cell_angle_alpha 90.00
_cell_angle_beta 90.00
_cell_angle_gamma 90.00
_symmetry_space_group_name_H-M 'P n m a'
_symmetry_Int_Tables_number 62
loop_
_symmetry_equiv_pos_as_xyz
'x,y,z'
'-x,-y,-z'
'-x+1/2,-y,z+1/2'
'x+1/2,y,-z+1/2'
'x+1/2,-y+1/2,-z+1/2'
'-x+1/2,y+1/2,z+1/2'
'-x,y+1/2,-z'
'x,-y+1/2,z'
loop_
_atom_site_label
_atom_site_type_symbol
_atom_site_fract_x
_atom_site_fract_y
_atom_site_fract_z
Tm1 Tm 0.015 0.250 0.198
Ga1 Ga 0.173 0.250 0.575
Pt1 Pt 0.226 0.750 0.401

=====

2.
# YGaPtW2 GGA-PBEsol optimized geometry
# E_form in eV per formula unit: 6.502
# Density in g/cm³: 10.10
# V in Å³/atom: 23.73
# Crystal system: tetragonal
data_YGaPtW2
_cell_length_a 4.775
_cell_length_b 4.775
_cell_length_c 5.204
_cell_angle_alpha 90.00
_cell_angle_beta 90.00
_cell_angle_gamma 90.00
_symmetry_space_group_name_H-M 'P 4/m m m'
_symmetry_Int_Tables_number 123
_symmetry_space_group_name_Hall '-P 4 2'
loop_
_atom_site_label
_atom_site_type_symbol
_atom_site_fract_x
_atom_site_fract_y
_atom_site_fract_z
Y1 Y 0.000 0.000 0.000
Ga1 Ga 0.500 0.500 0.000
Pt1 Pt 0.000 0.000 0.500
W1 W 0.000 0.500 0.500

=====

3.
# YGa2Pt GGA-PBEsol optimized geometry
# E_form in eV per formula unit: -2.695
# Density in g/cm³: 10.13
# V in Å³/atom: 17.35
# Crystal system: cubic
data_YGa2Pt
_cell_length_a 6.523
_cell_length_b 6.523
_cell_length_c 6.523
_cell_angle_alpha 90.00
_cell_angle_beta 90.00
_cell_angle_gamma 90.00
_symmetry_space_group_name_H-M 'F m -3 m'
_symmetry_Int_Tables_number 225
_symmetry_space_group_name_Hall '-F 4 2 3'
loop_
_atom_site_label
_atom_site_type_symbol
_atom_site_fract_x
_atom_site_fract_y
_atom_site_fract_z
Y1 Y 0.000 0.000 0.000
Ga1 Ga 0.250 0.250 0.250
Pt1 Pt 0.000 0.000 0.500

=====

4.
# Y2Ga2Pt GGA-PBEsol optimized geometry
# E_form in eV per formula unit: -4.392
# Density in g/cm³: 8.53
# V in Å³/atom: 19.94
# Crystal system: tetragonal
data_Y2Ga2Pt
_cell_length_a 6.819
_cell_length_b 6.819
_cell_length_c 4.289
_cell_angle_alpha 90.00
_cell_angle_beta 90.00
_cell_angle_gamma 90.00
_symmetry_space_group_name_H-M 'P 4/m b m'
_symmetry_Int_Tables_number 127
_symmetry_space_group_name_Hall '-P 4 2ab'
loop_
_atom_site_label
_atom_site_type_symbol
_atom_site_fract_x
_atom_site_fract_y
_atom_site_fract_z
Y1 Y 0.173 0.327 0.000
Ga1 Ga 0.132 0.632 0.500
Pt1 Pt 0.000 0.000 0.500

=====

5.
# Y3GaPt GGA-PBEsol optimized geometry
# E_form in eV per formula unit: -1.445
# Density in g/cm³: 5.88
# V in Å³/atom: 30.02
# Crystal system: cubic
data_Y3GaPt
_cell_length_a 5.315
_cell_length_b 5.315
_cell_length_c 5.315
_cell_angle_alpha 90.00
_cell_angle_beta 90.00
_cell_angle_gamma 90.00
_symmetry_space_group_name_H-M 'P m -3 m'
_symmetry_Int_Tables_number 221
_symmetry_space_group_name_Hall '-P 4 2 3'
loop_
_atom_site_label
_atom_site_type_symbol
_atom_site_fract_x
_atom_site_fract_y
_atom_site_fract_z
Y1 Y 0.000 0.000 0.500
Ga1 Ga 0.500 0.500 0.500
Pt1 Pt 0.000 0.000 0.000

=====

6.
# Zr6Ga16Pt7 GGA-PBEsol optimized geometry
# E_form in eV per formula unit: -21.037
# Density in g/cm³: 10.66
# V in Å³/atom: 16.27
# Crystal system: cubic
data_Zr6Ga16Pt7
_cell_length_a 12.359
_cell_length_b 12.359
_cell_length_c 12.359
_cell_angle_alpha 90.00
_cell_angle_beta 90.00
_cell_angle_gamma 90.00
_symmetry_space_group_name_H-M 'F m -3 m'
_symmetry_Int_Tables_number 225
_symmetry_space_group_name_Hall '-F 4 2 3'
loop_
_atom_site_label
_atom_site_type_symbol
_atom_site_fract_x
_atom_site_fract_y
_atom_site_fract_z
Zr1 Zr 0.000 0.000 0.197
Ga1 Ga 0.122 0.122 0.378
Ga2 Ga 0.156 0.156 0.156
Pt1 Pt 0.000 0.000 0.500
Pt2 Pt 0.000 0.250 0.250

=====

7.
# Zr2GaPt2 GGA-PBEsol optimized geometry
# E_form in eV per formula unit: -4.563
# Density in g/cm³: 11.83
# V in Å³/atom: 18.03
# Crystal system: orthorhombic
data_Zr2GaPt2
_cell_length_a 4.160
_cell_length_b 5.408
_cell_length_c 8.013
_cell_angle_alpha 90.00
_cell_angle_beta 90.00
_cell_angle_gamma 90.00
_symmetry_space_group_name_H-M 'I m m m'
_symmetry_Int_Tables_number 71
_symmetry_space_group_name_Hall '-I 2 2'
loop_
_atom_site_label
_atom_site_type_symbol
_atom_site_fract_x
_atom_site_fract_y
_atom_site_fract_z
Zr1 Zr 0.000 0.000 0.200
Ga1 Ga 0.000 0.500 0.000
Pt1 Pt 0.000 0.263 0.500

=====

8.
# PuGa2 GGA-PBEsol optimized geometry
# E_form in eV per formula unit: -0.672
# Density in g/cm³: 11.13
# V in Å³/atom: 19.07
# Crystal system: hexagonal
data_PuGa2
_cell_length_a 4.5168
_cell_length_b 4.5168
_cell_length_c 3.2381
_cell_angle_alpha 90.00
_cell_angle_beta 90.00
_cell_angle_gamma 120.00
_symmetry_space_group_name_H-M 'P 6/m m m'
_symmetry_Int_Tables_number 191
_symmetry_space_group_name_Hall '-P 6 2'
loop_
_atom_site_label
_atom_site_type_symbol
_atom_site_fract_x
_atom_site_fract_y
_atom_site_fract_z
Pu1 Pu 0.0000 0.0000 0.0000
Ga1 Ga 0.3333 0.6667 0.5000

=====

9.
# RbGa7 GGA-PBEsol optimized geometry
# E_form in eV per formula unit: -0.968
# Density in g/cm³: 5.38
# V in Å³/atom: 22.11
# Crystal system: trigonal
data_RbGa7
_cell_length_a 6.5921
_cell_length_b 6.5921
_cell_length_c 28.1986
_cell_angle_alpha 90.00
_cell_angle_beta 90.00
_cell_angle_gamma 120.00
_symmetry_space_group_name_H-M 'R -3 m'
_symmetry_Int_Tables_number 166
_symmetry_space_group_name_Hall '-R 3 2"'
loop_
_atom_site_label
_atom_site_type_symbol
_atom_site_fract_x
_atom_site_fract_y
_atom_site_fract_z
Rb1 Rb 0.0000 0.0000 0.1955
Ga1 Ga 0.0000 0.0000 0.4557
Ga2 Ga 0.0536 0.5268 0.7440
Ga3 Ga 0.0681 0.5341 0.3523

=====

10.
# RbGaRu3 GGA-PBEsol optimized geometry
# E_form in eV per formula unit: 8.245
# Density in g/cm³: 7.39
# V in Å³/atom: 20.59
# Crystal system: cubic
data_RbGaRu3
_cell_length_a 4.687
_cell_length_b 4.687
_cell_length_c 4.687
_cell_angle_alpha 90.00
_cell_angle_beta 90.00
_cell_angle_gamma 90.00
_symmetry_space_group_name_H-M 'P m -3 m'
_symmetry_Int_Tables_number 221
_symmetry_space_group_name_Hall '-P 4 2 3'
loop_
_atom_site_label
_atom_site_type_symbol
_atom_site_fract_x
_atom_site_fract_y
_atom_site_fract_z
Rb1 Rb 0.000 0.000 0.000
Ga1 Ga 0.500 0.500 0.500
Ru1 Ru 0.000 0.500 0.500

=====

11.
# RbGaS2 GGA-PBEsol optimized geometry
# Energy relative to the elements, uncorrected in meV per atom: -1029
# Density in g/cm³: 3.26
# V in Å³/atom: 27.93
# Crystal system: monoclinic
data_RbGaS2
_cell_length_a 7.529
_cell_length_b 11.249
_cell_length_c 5.877
_cell_angle_alpha 90.00
_cell_angle_beta 116.12
_cell_angle_gamma 90.00
_symmetry_space_group_name_H-M 'C 1 2/c 1'
_symmetry_Int_Tables_number 15
loop_
_symmetry_equiv_pos_as_xyz
'x,y,z'
'-x,-y,-z'
'-x,y,-z+1/2'
'x,-y,z+1/2'
'x+1/2,y+1/2,z'
'-x+1/2,-y+1/2,-z'
'-x+1/2,y+1/2,-z+1/2'
'x+1/2,-y+1/2,z+1/2'
loop_
_atom_site_label
_atom_site_type_symbol
_atom_site_fract_x
_atom_site_fract_y
_atom_site_fract_z
Rb1 Rb 0.000 0.139 0.250
Ga1 Ga 0.000 0.494 0.750
S1 S 0.187 0.393 0.115

=====

12.
# RbGaS2 GGA-PBEsol optimized geometry
# Energy relative to the elements, uncorrected in meV per atom: -1007
# Density in g/cm³: 3.51
# V in Å³/atom: 25.93
# Crystal system: tetragonal
data_RbGaS2
_cell_length_a 7.056
_cell_length_b 7.056
_cell_length_c 8.332
_cell_angle_alpha 90.00
_cell_angle_beta 90.00
_cell_angle_gamma 90.00
_symmetry_space_group_name_H-M 'I -4 2 d'
_symmetry_Int_Tables_number 122
_symmetry_space_group_name_Hall 'I -4 2bw'
loop_
_atom_site_label
_atom_site_type_symbol
_atom_site_fract_x
_atom_site_fract_y
_atom_site_fract_z
Rb1 Rb 0.000 0.000 0.000
Ga1 Ga 0.000 0.000 0.500
S1 S 0.144 0.250 0.625

=====

Among the records above, which one has the lowest density? number 11

=====

Among the records above, which one has the highest density? TmGaPt